Material: Sr2LuHg
Method: DFT, GGA-PBE
State: relaxed

Cell lengths 3.8229, 3.8229, 36.1247 Å; angles 90.00, 90.00, 120.00 degrees
Space group R-3m (No. 166, hexagonal axes)
Inequivalent atoms, fractional coordinates:
Sr 0.0000 0.0000 0.0973
Lu 0.0000 0.0000 0.0000
Hg 0.0000 0.0000 0.5000

## Properties
crystal system = trigonal
energy of formation from the pure elements = 0.162 eV/atom
DFT total energy = -1.88 eV/atom